Entry 1:
The following is a PBE calculation of a relaxed structure of CdBO, from Alexandria via LeMat-Bulk.

ΔE_f (raw) = -874 meV/atom
size of the total moment = 0.0000 μB/atom
N(E_F) = 4.590 states/eV per cell

Unit cell a=4.1508 b=4.6469 c=8.3063 alpha=90.00 beta=90.00 gamma=90.00
Last column: nearest neighbours and their distance in Å.
Atoms (fractional coordinates):
B 0.0050 0.0959 0.0809  3 O 1.50-1.53
B 0.5050 0.9041 0.9191  3 O 1.50-1.53
B 0.0050 0.5959 0.9191  3 O 1.50-1.53
B 0.5050 0.4041 0.0809  3 O 1.50-1.53
Cd 0.0646 0.9999 0.3588  1 B 2.36
Cd 0.5646 0.0001 0.6412  1 B 2.36
Cd 0.0646 0.4999 0.6412  1 B 2.36
Cd 0.5646 0.5001 0.3588  1 B 2.36
O 0.1593 0.3772 0.0326  3 B 1.50-1.53
O 0.6593 0.6228 0.9674  3 B 1.50-1.53
O 0.1593 0.8772 0.9674  3 B 1.50-1.53
O 0.6593 0.1228 0.0326  3 B 1.50-1.53

=====

Entry 2:
The following is a PBE calculation of a relaxed structure of ScTeI2O, from Alexandria via LeMat-Bulk.

ΔE_f (raw) = 10 meV/atom
size of the total moment = 0.0752 μB/atom
energy above the lowest structure with this stoichiometry = 479 kJ/mol of formula units
N(E_F) = 4.234 states/eV per cell

Unit cell a=5.2992 b=5.2992 c=4.5029 alpha=90.00 beta=90.00 gamma=90.00
Last column: nearest neighbours and their distance in Å.
Atoms (fractional coordinates):
I 0.0000 0.5000 0.0000  2 O 2.65
I 0.5000 0.0000 0.0000  2 O 2.65
Sc 0.5000 0.5000 0.5000  8 I 3.48, 4 Te 3.75
Te 0.0000 0.0000 0.5000  2 O 2.25
O 0.0000 0.0000 0.0000  2 Te 2.25

=====

Entry 3:
The following is a PBE calculation of a relaxed structure of PHSCl2, from Alexandria via LeMat-Bulk.

size of the total moment = 0.0892 μB/atom
energy above the lowest structure with this stoichiometry = 0 kJ/mol of formula units
N(E_F) = 2.959 states/eV per cell

Unit cell a=4.8412 b=4.8412 c=4.4878 alpha=90.00 beta=90.00 gamma=90.00
Last column: nearest neighbours and their distance in Å.
Atoms (fractional coordinates):
P 0.0000 0.0000 0.0000  2 S 2.24, 4 Cl 2.42
S 0.0000 0.0000 0.5000  2 P 2.24
H 0.5000 0.5000 0.5000  8 Cl 3.30, 4 S 3.42
Cl 0.0000 0.5000 0.0000  2 P 2.42
Cl 0.5000 0.0000 0.0000  2 P 2.42

=====

Entry 4:
The following is a PBE calculation of a relaxed structure of Zn8Cu4Hg, from Alexandria via LeMat-Bulk.

size of the total moment = 0.0000 μB/atom
N(E_F) = 3.044 states/eV per cell
DFT formation energy = -0.021 eV/atom

Unit cell a=5.0014 b=6.6756 c=6.6756 alpha=81.93 beta=68.00 gamma=68.00
Last column: nearest neighbours and their distance in Å.
Atoms (fractional coordinates):
Zn 0.0000 0.3430 0.6570  4 Cu 2.65, 5 Zn 2.72-2.81
Zn 0.0000 0.6570 0.3430  4 Cu 2.65, 5 Zn 2.72-2.81
Zn 0.3430 0.6570 0.6570  4 Cu 2.65, 5 Zn 2.72-2.81
Zn 0.6570 0.3430 0.3430  4 Cu 2.65, 5 Zn 2.72-2.81
Zn 0.5000 0.7801 0.2199  4 Cu 2.53, 6 Zn 2.72-2.81
Zn 0.5000 0.2199 0.7801  4 Cu 2.53, 6 Zn 2.72-2.81
Zn 0.2801 0.2199 0.2199  4 Cu 2.53, 6 Zn 2.72-2.81
Zn 0.7199 0.7801 0.7801  4 Cu 2.53, 6 Zn 2.72-2.81
Cu 0.0000 0.0000 0.5000  2 Cu 2.50, 8 Zn 2.53-2.65
Cu 0.5000 0.0000 0.5000  2 Cu 2.50, 8 Zn 2.53-2.65
Cu 0.0000 0.5000 0.0000  2 Cu 2.50, 8 Zn 2.53-2.65
Cu 0.5000 0.5000 0.0000  2 Cu 2.50, 8 Zn 2.53-2.65
Hg 0.0000 0.0000 0.0000  12 Zn 3.00-3.16, 8 Cu 3.34